DFT (PBE) results for a geometry-optimized Er3Pu4Ru4 structure.

Unit cell a=8.4660 b=8.4660 c=8.4660 alpha=157.64 beta=107.95 gamma=76.53
Closest atoms and distances in Å follow each position.
Fractional coordinates of all 11 atoms:
Er: 0.0000 0.0000 0.0000  2 Ru 2.77
Er: 0.3861 0.8861 0.5000  6 Ru 2.88-3.15, 1 Er 3.03
Er: 0.6139 0.1139 0.5000  6 Ru 2.88-3.15, 1 Er 3.03
Pu: 0.0307 0.3108 0.7200  2 Pu 2.38, 1 Ru 2.58
Pu: 0.4092 0.6892 0.7200  2 Pu 2.38, 1 Ru 2.58
Pu: 0.5908 0.3108 0.2800  2 Pu 2.38, 1 Ru 2.58
Pu: 0.9693 0.6892 0.2800  2 Pu 2.38, 1 Ru 2.58
Ru: 0.2083 0.2083 0.0000  4 Pu 2.75, 3 Er 2.77-2.88
Ru: 0.2775 0.5000 0.7775  2 Pu 2.58
Ru: 0.7225 0.5000 0.2225  2 Pu 2.58
Ru: 0.7917 0.7917 0.0000  4 Pu 2.75, 3 Er 2.77-2.88

Calculated values
For the total DFT energy (no corrections), the calculation gives -9.8830 eV/atom. The value obtained for the size of the total moment is 0.00 μB/atom. As for the volume: 19.757 Å³ per atom. The value obtained for the density of states at the Fermi level is 1.5029 states/eV/atom. The space-group type is Immm (71). The calculation puts the calculated formation energy at -0.05 eV per atom.

DFT (PBE) results for a geometry-optimized CeTmCuPt structure.

Unit cell a=4.9557 b=4.9557 c=4.9557 alpha=60.00 beta=60.00 gamma=60.00
Closest atoms and distances in Å follow each position.
Fractional coordinates of all 4 atoms:
Ce: 0.0000 0.0000 0.0000  4 Cu 3.03, 4 Pt 3.03
Tm: 0.5000 0.5000 0.5000  4 Pt 3.03, 4 Cu 3.03
Cu: 0.2500 0.2500 0.2500  4 Tm 3.03, 4 Ce 3.03
Pt: 0.7500 0.7500 0.7500  4 Ce 3.03, 4 Tm 3.03

Calculated values
For the total DFT energy (no corrections), the calculation gives -5.7908 eV/atom. The value obtained for the size of the total moment is 0.19 μB/atom. As for the volume: 21.516 Å³ per atom. The excess energy over the best structure of this formula in the dataset is 0.0472 eV per atom. The value obtained for the density of states at the Fermi level is 1.6115 states/eV/atom. The space-group type is F-43m (216). The calculation puts the calculated formation energy at -0.66 eV per atom.

DFT (PBE) results for a geometry-optimized SnAsCBr2 structure.

Unit cell a=4.8212 b=4.8212 c=4.5580 alpha=90.00 beta=90.00 gamma=90.00
Closest atoms and distances in Å follow each position.
Fractional coordinates of all 5 atoms:
Sn: 0.0000 0.0000 0.0000  8 Br 3.32, 4 As 3.41
As: 0.5000 0.5000 0.0000  2 C 2.28
C: 0.5000 0.5000 0.5000  2 As 2.28, 4 Br 2.41
Br: 0.0000 0.5000 0.5000  2 C 2.41
Br: 0.5000 0.0000 0.5000  2 C 2.41

Calculated values
For the total DFT energy (no corrections), the calculation gives -3.3034 eV/atom. The value obtained for the size of the total moment is 0.00 μB/atom. As for the volume: 21.189 Å³ per atom. The excess energy over the best structure of this formula in the dataset is 0.0000 eV per atom. The value obtained for the density of states at the Fermi level is 0.4853 states/eV/atom. The space-group type is P4/mmm (123). The uncorrected formation energy is 0.941 eV/atom.

DFT (PBE) results for a geometry-optimized Tb2TiP3Rh12 structure.

Unit cell a=6.6662 b=6.6662 c=6.6662 alpha=82.59 beta=82.59 gamma=82.59
Closest atoms and distances in Å follow each position.
Fractional coordinates of all 18 atoms:
Tb: 0.1249 0.1249 0.1249  3 Rh 2.57
Tb: 0.8751 0.8751 0.8751  3 Rh 2.57
Ti: 0.5000 0.5000 0.5000  6 Rh 2.55
P: 0.0000 0.5000 0.5000  6 Rh 2.25-2.51
P: 0.5000 0.0000 0.5000  6 Rh 2.25-2.51
P: 0.5000 0.5000 0.0000  6 Rh 2.25-2.51
Rh: 0.1339 0.1339 0.5886  2 P 2.51, 1 Rh 2.70
Rh: 0.1339 0.5886 0.1339  2 P 2.51, 1 Rh 2.70
Rh: 0.1727 0.6743 0.6743  1 P 2.25
Rh: 0.3257 0.3257 0.8273  1 P 2.25
Rh: 0.3257 0.8273 0.3257  1 P 2.25
Rh: 0.4114 0.8661 0.8661  2 P 2.51, 1 Rh 2.70
Rh: 0.5886 0.1339 0.1339  2 P 2.51, 1 Rh 2.70
Rh: 0.6743 0.1727 0.6743  1 P 2.25
Rh: 0.6743 0.6743 0.1727  1 P 2.25
Rh: 0.8273 0.3257 0.3257  1 P 2.25
Rh: 0.8661 0.4114 0.8661  2 P 2.51, 1 Rh 2.70
Rh: 0.8661 0.8661 0.4114  2 P 2.51, 1 Rh 2.70

Calculated values
For the total DFT energy (no corrections), the calculation gives -7.1089 eV/atom. The value obtained for the size of the total moment is 0.00 μB/atom. As for the volume: 16.078 Å³ per atom. The value obtained for the density of states at the Fermi level is 0.9351 states/eV/atom. The space-group type is R-3m (166). The calculation puts the calculated formation energy at -0.35 eV per atom.

DFT (PBE) results for a geometry-optimized TcHg4W structure.

Unit cell a=5.5281 b=5.5281 c=5.5281 alpha=60.00 beta=60.00 gamma=60.00
Closest atoms and distances in Å follow each position.
Fractional coordinates of all 6 atoms:
Tc: 0.0000 0.0000 0.0000  12 Hg 3.24, 4 W 3.39
Hg: 0.3751 0.3751 0.3751  6 Hg 2.76-2.77
Hg: 0.3751 0.3751 0.8748  6 Hg 2.76-2.77
Hg: 0.3751 0.8748 0.3751  6 Hg 2.76-2.77
Hg: 0.8748 0.3751 0.3751  6 Hg 2.76-2.77
W: 0.7500 0.7500 0.7500  12 Hg 3.24, 4 Tc 3.39

Calculated values
For the total DFT energy (no corrections), the calculation gives -2.8459 eV/atom. The value obtained for the size of the total moment is 0.24 μB/atom. As for the volume: 19.910 Å³ per atom. The value obtained for the density of states at the Fermi level is 0.9486 states/eV/atom. The space-group type is F-43m (216). The calculation puts the calculated formation energy at 1.24 eV per atom.

DFT (PBE) results for a geometry-optimized TbScH structure.

Unit cell a=3.4771 b=3.4771 c=5.3776 alpha=90.00 beta=90.00 gamma=120.00
Closest atoms and distances in Å follow each position.
Fractional coordinates of all 3 atoms:
Tb: 0.0000 0.0000 0.0000  3 H 2.46
Sc: 0.6667 0.3333 0.5126  3 H 2.34
H: 0.3333 0.6667 0.7365  3 Sc 2.34, 3 Tb 2.46

Calculated values
For the total DFT energy (no corrections), the calculation gives -4.9872 eV/atom. The value obtained for the size of the total moment is 0.00 μB/atom. As for the volume: 18.768 Å³ per atom. The excess energy over the best structure of this formula in the dataset is 0.0895 eV per atom. The value obtained for the density of states at the Fermi level is 1.0488 states/eV/atom. The space-group type is P3m1 (156).

DFT (PBE) results for a geometry-optimized FeRu2 structure.

Unit cell a=4.9823 b=4.9823 c=6.2377 alpha=102.73 beta=102.73 gamma=31.21
Closest atoms and distances in Å follow each position.
Fractional coordinates of all 6 atoms:
Fe: 0.0000 0.0000 0.0000  8 Ru 2.57-2.64, 4 Fe 2.67-2.68
Fe: 0.6673 0.6673 0.3320  8 Ru 2.53-2.71, 4 Fe 2.67-2.68
Ru: 0.0583 0.0583 0.6089  3 Fe 2.59-2.62, 9 Ru 2.60-2.69
Ru: 0.3359 0.3359 0.6718  8 Ru 2.60-2.68, 4 Fe 2.64-2.71
Ru: 0.3914 0.3914 0.2740  5 Fe 2.57-2.63, 7 Ru 2.65-2.68
Ru: 0.7196 0.7196 0.9520  4 Fe 2.53-2.64, 8 Ru 2.64-2.69

Calculated values
For the total DFT energy (no corrections), the calculation gives -8.9213 eV/atom. The value obtained for the size of the total moment is 0.08 μB/atom. As for the volume: 13.019 Å³ per atom. The value obtained for the density of states at the Fermi level is 1.1009 states/eV/atom. The space-group type is Cm (8). The calculation puts the calculated formation energy at 0.08 eV per atom.

DFT (PBE) results for a geometry-optimized Nd6ErTl5 structure.

Unit cell a=9.3560 b=9.3560 c=9.3560 alpha=148.32 beta=121.67 gamma=67.91
Closest atoms and distances in Å follow each position.
Fractional coordinates of all 12 atoms:
Nd: 0.0683 0.3288 0.7395  7 Tl 3.36-3.54, 4 Nd 3.54-3.69, 1 Er 3.56
Nd: 0.2338 0.0000 0.2338  6 Tl 3.33-3.43, 2 Er 3.52, 4 Nd 3.69
Nd: 0.4107 0.6712 0.7395  7 Tl 3.36-3.54, 4 Nd 3.54-3.69, 1 Er 3.56
Nd: 0.5893 0.3288 0.2605  7 Tl 3.36-3.54, 4 Nd 3.54-3.69, 1 Er 3.56
Nd: 0.7662 0.0000 0.7662  6 Tl 3.33-3.43, 2 Er 3.52, 4 Nd 3.69
Nd: 0.9317 0.6712 0.2605  7 Tl 3.36-3.54, 4 Nd 3.54-3.69, 1 Er 3.56
Er: 0.5000 0.5000 0.0000  4 Tl 3.45, 8 Nd 3.52-3.56
Tl: 0.0000 0.5000 0.5000  8 Nd 3.33-3.44, 4 Tl 3.71
Tl: 0.1733 0.1733 0.0000  8 Nd 3.36-3.43, 4 Tl 3.71-3.75
Tl: 0.3506 0.8506 0.5000  8 Nd 3.36-3.54, 2 Er 3.45, 2 Tl 3.75
Tl: 0.6494 0.1494 0.5000  8 Nd 3.36-3.54, 2 Er 3.45, 2 Tl 3.75
Tl: 0.8267 0.8267 0.0000  8 Nd 3.36-3.43, 4 Tl 3.71-3.75

Calculated values
For the total DFT energy (no corrections), the calculation gives -4.0502 eV/atom. The value obtained for the size of the total moment is 0.00 μB/atom. As for the volume: 30.118 Å³ per atom. The excess energy over the best structure of this formula in the dataset is 0.0000 eV per atom. The value obtained for the density of states at the Fermi level is 1.0705 states/eV/atom. The space-group type is Immm (71). The calculation puts the calculated formation energy at -0.30 eV per atom.

DFT (PBE) results for a geometry-optimized TaZnNi6 structure.

Unit cell a=6.2808 b=6.2808 c=10.2512 alpha=90.00 beta=90.00 gamma=109.50
Closest atoms and distances in Å follow each position.
Fractional coordinates of all 32 atoms:
Ta: 0.0000 0.0000 0.2447  12 Ni 2.51-2.62
Ta: 0.0000 0.0000 0.7553  12 Ni 2.51-2.62
Ta: 0.2457 0.7543 0.5000  12 Ni 2.52-2.61
Ta: 0.7543 0.2457 0.5000  12 Ni 2.52-2.61
Zn: 0.2467 0.7533 0.0000  12 Ni 2.53-2.60
Zn: 0.5000 0.5000 0.2464  12 Ni 2.53-2.60
Zn: 0.5000 0.5000 0.7536  12 Ni 2.53-2.60
Zn: 0.7533 0.2467 0.0000  12 Ni 2.53-2.60
Ni: 0.0000 0.0000 0.0000  2 Ta 2.51, 2 Zn 2.53, 8 Ni 2.58
Ni: 0.0000 0.0000 0.5000  4 Ta 2.52-2.62, 8 Ni 2.58
Ni: 0.1265 0.3777 0.1246  3 Zn 2.54-2.56, 8 Ni 2.55-2.58, 1 Ta 2.55
Ni: 0.1265 0.3777 0.8754  3 Zn 2.54-2.56, 8 Ni 2.55-2.58, 1 Ta 2.55
Ni: 0.1279 0.3767 0.3743  8 Ni 2.55-2.58, 3 Ta 2.56-2.60, 1 Zn 2.56
Ni: 0.1279 0.3767 0.6257  8 Ni 2.55-2.58, 3 Ta 2.56-2.60, 1 Zn 2.56
Ni: 0.2499 0.7501 0.2489  8 Ni 2.55-2.58, 2 Zn 2.55-2.57, 2 Ta 2.56-2.57
Ni: 0.2499 0.7501 0.7511  8 Ni 2.55-2.58, 2 Zn 2.55-2.57, 2 Ta 2.56-2.57
Ni: 0.3767 0.1279 0.3743  8 Ni 2.55-2.58, 3 Ta 2.56-2.60, 1 Zn 2.56
Ni: 0.3767 0.1279 0.6257  8 Ni 2.55-2.58, 3 Ta 2.56-2.60, 1 Zn 2.56
Ni: 0.3777 0.1265 0.1246  3 Zn 2.54-2.56, 8 Ni 2.55-2.58, 1 Ta 2.55
Ni: 0.3777 0.1265 0.8754  3 Zn 2.54-2.56, 8 Ni 2.55-2.58, 1 Ta 2.55
Ni: 0.5000 0.5000 0.0000  4 Zn 2.53-2.60, 8 Ni 2.55
Ni: 0.5000 0.5000 0.5000  8 Ni 2.55, 2 Zn 2.60, 2 Ta 2.61
Ni: 0.6223 0.8735 0.1246  3 Zn 2.54-2.56, 8 Ni 2.55-2.58, 1 Ta 2.55
Ni: 0.6223 0.8735 0.8754  3 Zn 2.54-2.56, 8 Ni 2.55-2.58, 1 Ta 2.55
Ni: 0.6233 0.8721 0.3743  8 Ni 2.55-2.58, 3 Ta 2.56-2.60, 1 Zn 2.56
Ni: 0.6233 0.8721 0.6257  8 Ni 2.55-2.58, 3 Ta 2.56-2.60, 1 Zn 2.56
Ni: 0.7501 0.2499 0.2489  8 Ni 2.55-2.58, 2 Zn 2.55-2.57, 2 Ta 2.56-2.57
Ni: 0.7501 0.2499 0.7511  8 Ni 2.55-2.58, 2 Zn 2.55-2.57, 2 Ta 2.56-2.57
Ni: 0.8721 0.6233 0.3743  8 Ni 2.55-2.58, 3 Ta 2.56-2.60, 1 Zn 2.56
Ni: 0.8721 0.6233 0.6257  8 Ni 2.55-2.58, 3 Ta 2.56-2.60, 1 Zn 2.56
Ni: 0.8735 0.6223 0.1246  3 Zn 2.54-2.56, 8 Ni 2.55-2.58, 1 Ta 2.55
Ni: 0.8735 0.6223 0.8754  3 Zn 2.54-2.56, 8 Ni 2.55-2.58, 1 Ta 2.55

Calculated values
For the total DFT energy (no corrections), the calculation gives -6.2490 eV/atom. The value obtained for the size of the total moment is 0.04 μB/atom. As for the volume: 11.913 Å³ per atom. The value obtained for the density of states at the Fermi level is 0.9487 states/eV/atom. The space-group type is Cmmm (65). The calculation puts the calculated formation energy at -0.27 eV per atom.

DFT (PBE) results for a geometry-optimized Ce2Ni7Ir structure.

Unit cell a=3.7515 b=3.7515 c=10.7410 alpha=90.00 beta=90.00 gamma=90.00
Closest atoms and distances in Å follow each position.
Fractional coordinates of all 10 atoms:
Ce: 0.0000 0.5000 0.2450  12 Ni 2.89-3.23
Ce: 0.5000 0.0000 0.7550  12 Ni 2.89-3.23
Ni: 0.0000 0.0000 0.0000  8 Ni 2.40-2.65
Ni: 0.0000 0.5000 0.6466  3 Ni 2.31-2.45, 2 Ir 2.45
Ni: 0.0000 0.5000 0.8612  5 Ni 2.31-2.40
Ni: 0.5000 0.0000 0.1388  5 Ni 2.31-2.40
Ni: 0.5000 0.0000 0.3534  3 Ni 2.31-2.45, 2 Ir 2.45
Ni: 0.5000 0.5000 0.0000  8 Ni 2.40-2.65
Ni: 0.5000 0.5000 0.5000  4 Ni 2.45, 4 Ir 2.65
Ir: 0.0000 0.0000 0.5000  8 Ni 2.45-2.65

Calculated values
For the total DFT energy (no corrections), the calculation gives -6.3274 eV/atom. The value obtained for the size of the total moment is 0.05 μB/atom. As for the volume: 15.116 Å³ per atom. The value obtained for the density of states at the Fermi level is 1.7186 states/eV/atom. The space-group type is P-4m2 (115). The calculation puts the calculated formation energy at -0.21 eV per atom.

DFT (PBE) results for a geometry-optimized SmHg4Bi structure.

Unit cell a=6.0912 b=6.0912 c=6.0912 alpha=60.00 beta=60.00 gamma=60.00
Closest atoms and distances in Å follow each position.
Fractional coordinates of all 6 atoms:
Sm: 0.0000 0.0000 0.0000  12 Hg 3.57, 4 Bi 3.73
Hg: 0.3755 0.3755 0.3755  6 Hg 3.03-3.06
Hg: 0.3755 0.3755 0.8735  6 Hg 3.03-3.06
Hg: 0.3755 0.8735 0.3755  6 Hg 3.03-3.06
Hg: 0.8735 0.3755 0.3755  6 Hg 3.03-3.06
Bi: 0.7500 0.7500 0.7500  12 Hg 3.57, 4 Sm 3.73

Calculated values
For the total DFT energy (no corrections), the calculation gives -1.7376 eV/atom. The value obtained for the size of the total moment is 0.00 μB/atom. As for the volume: 26.634 Å³ per atom. The value obtained for the density of states at the Fermi level is 0.5386 states/eV/atom. The space-group type is F-43m (216). The calculation puts the calculated formation energy at -0.10 eV per atom.

DFT (PBE) results for a geometry-optimized Cs4Pu3ScO12 structure.

Unit cell a=7.5180 b=7.5180 c=7.5180 alpha=109.47 beta=109.47 gamma=109.47
Closest atoms and distances in Å follow each position.
Fractional coordinates of all 20 atoms:
Cs: 0.0000 0.0000 0.5000  12 O 3.07
Cs: 0.0000 0.5000 0.0000  12 O 3.07
Cs: 0.5000 0.0000 0.0000  12 O 3.07
Cs: 0.5000 0.5000 0.5000  12 O 3.07
Pu: 0.0000 0.5000 0.5000  6 O 2.07-2.17
Pu: 0.5000 0.0000 0.5000  6 O 2.07-2.17
Pu: 0.5000 0.5000 0.0000  6 O 2.07-2.17
Sc: 0.0000 0.0000 0.0000  6 O 2.27
O: 0.0000 0.2620 0.2620  1 Pu 2.07, 1 Sc 2.27
O: 0.0000 0.7380 0.7380  1 Pu 2.07, 1 Sc 2.27
O: 0.2500 0.5000 0.7500  2 Pu 2.17
O: 0.2500 0.7500 0.5000  2 Pu 2.17
O: 0.2620 0.0000 0.2620  1 Pu 2.07, 1 Sc 2.27
O: 0.2620 0.2620 0.0000  1 Pu 2.07, 1 Sc 2.27
O: 0.5000 0.2500 0.7500  2 Pu 2.17
O: 0.5000 0.7500 0.2500  2 Pu 2.17
O: 0.7380 0.0000 0.7380  1 Pu 2.07, 1 Sc 2.27
O: 0.7380 0.7380 0.0000  1 Pu 2.07, 1 Sc 2.27
O: 0.7500 0.2500 0.5000  2 Pu 2.17
O: 0.7500 0.5000 0.2500  2 Pu 2.17

Calculated values
For the total DFT energy (no corrections), the calculation gives -8.0268 eV/atom. The value obtained for the size of the total moment is 0.35 μB/atom. As for the volume: 16.355 Å³ per atom. The value obtained for the density of states at the Fermi level is 0.4433 states/eV/atom. The space-group type is Im-3m (229). The uncorrected formation energy is -2.415 eV/atom.